Entry 1:
Here is crystalline TbCoGe2Pd at its relaxed geometry from OQMD. Energies are from PBE.

Summary:
ρ in Mg/m³: 8.99
Space group: No. 119
Magnetization in Bohr magnetons per cell: 1.20
Total DFT energy (no corrections) in eV for the cell shown: -29.468

abc: 5.885 5.885 5.885
angles: 139.04 139.04 59.31
Each line ends with the local moment (μB).
Fractional positions:
Pd  0.000  0.000  0.000  0.11
Tb  0.250  0.750  0.500  0.05
Co  0.500  0.500  0.000  1.02
Ge  0.872  0.372  0.500  0.00
Ge  0.628  0.128  0.500  0.00


Entry 2:
Here is crystalline HgH at its relaxed geometry from OQMD. Energies are from PBE.

Summary:
Energy above the lowest structure with this stoichiometry in eV/f.u.: 0.00
ρ in Mg/m³: 9.19
Space group: No. 139
Total DFT energy (no corrections) in eV for the cell shown: -5.816

abc: 5.690 5.690 5.690
angles: 140.86 140.86 56.55
Fractional positions:
Hg  0.868  0.868  0.000
Hg  0.132  0.132  0.000
H  0.694  0.694  0.000
H  0.306  0.306  0.000


Entry 3:
Here is crystalline SrInHg at its relaxed geometry from OQMD. Energies are from PBE.

Summary:
ρ in Mg/m³: 6.77
Space group: No. 216
Total DFT energy (no corrections) in eV for the cell shown: -5.781

abc: 5.190 5.190 5.190
angles: 60.00 60.00 60.00
Fractional positions:
Sr  0.750  0.750  0.750
In  0.250  0.250  0.250
Hg  0.000  0.000  0.000


Entry 4:
Here is crystalline SmLuTe at its relaxed geometry from OQMD. Energies are from PBE.

Summary:
Energy above the lowest structure with this stoichiometry in eV/f.u.: 0.00
ρ in Mg/m³: 8.15
Space group: No. 216
Magnetization in Bohr magnetons per cell: 0.98
Total DFT energy (no corrections) in eV for the cell shown: -13.665

abc: 5.073 5.073 5.073
angles: 60.00 60.00 60.00
Fractional positions:
Lu  0.250  0.250  0.250
Te  0.000  0.000  0.000
Sm  0.750  0.750  0.750


Entry 5:
Here is crystalline Os at its relaxed geometry from OQMD. Energies are from PBE.

Summary:
Energy above the lowest structure with this stoichiometry in eV/f.u.: 0.04
ρ in Mg/m³: 22.12
Space group: No. 166
ΔE_f in eV per atom: 0.04
Magnetization in Bohr magnetons per cell: 0.00
Total DFT energy (no corrections) in eV for the cell shown: -33.543

abc: 2.747 2.747 6.745
angles: 78.25 101.75 120.00
Fractional positions:
Os  0.779  0.221  0.338
Os  0.000  0.000  0.000
Os  0.221  0.779  0.662


Entry 6:
Here is crystalline ZrTaFeAs at its relaxed geometry from OQMD. Energies are from PBE.

Summary:
Energy above the lowest structure with this stoichiometry in eV/f.u.: 0.00
ρ in Mg/m³: 10.00
Space group: No. 216
Magnetization in Bohr magnetons per cell: 2.38
Total DFT energy (no corrections) in eV for the cell shown: -32.388

abc: 4.557 4.557 4.557
angles: 60.00 60.00 60.00
Fractional positions:
Fe  0.750  0.750  0.750
As  0.000  0.000  0.000
Zr  0.250  0.250  0.250
Ta  0.500  0.500  0.500


- Number 5 is which compound?
  Os


- Which of these has the lowest ρ?
  SrInHg